(1)
DFT (meta-GGA SCAN) results for a crystal of NaTlCl2 relaxed with PBEsol.

The uncorrected formation energy comes out at -1.427 eV/atom. The crystal system is tetragonal. The total magnetic moment is 0.00 μB per cell. For the density, the calculation gives 3.5 g/cm³.

a = 7.893 Å, b = 7.893 Å, c = 7.893 Å
α = 129.98°, β = 129.98°, γ = 73.44°
Fractional positions:
Na  0.000  0.000  0.000
Na  0.750  0.250  0.500
Tl  0.250  0.750  0.500
Tl  0.500  0.500  0.000
Cl  0.080  0.625  0.955
Cl  0.375  0.330  0.455
Cl  0.670  0.125  0.045
Cl  0.875  0.920  0.545


(2)
DFT (meta-GGA SCAN) results for a crystal of NaWCl2 relaxed with PBEsol.

The uncorrected formation energy comes out at 0.459 eV/atom. The crystal system is cubic. The total magnetic moment is 1.00 μB per cell. For the density, the calculation gives 7.4 g/cm³.

a = 4.451 Å, b = 4.451 Å, c = 4.451 Å
α = 60.00°, β = 60.00°, γ = 60.00°
Fractional positions:
Na  0.000  0.000  0.000
W  0.500  0.500  0.500
Cl  0.250  0.250  0.250
Cl  0.750  0.750  0.750


(3)
DFT (meta-GGA SCAN) results for a crystal of Na3WCl relaxed with PBEsol.

The uncorrected formation energy comes out at 1.053 eV/atom. The crystal system is cubic. The total magnetic moment is 6.00 μB per cell. For the density, the calculation gives 2.3 g/cm³.

a = 5.957 Å, b = 5.957 Å, c = 5.957 Å
α = 90.00°, β = 90.00°, γ = 90.00°
Fractional positions:
Na  0.000  0.000  0.500
Na  0.000  0.500  0.000
Na  0.500  0.000  0.000
W  0.000  0.000  0.000
Cl  0.500  0.500  0.500


(4)
DFT (meta-GGA SCAN) results for a crystal of NaYCl4 relaxed with PBEsol.

The uncorrected formation energy comes out at -2.388 eV/atom. The crystal system is triclinic. The total magnetic moment is 0.00 μB per cell. For the density, the calculation gives 2.9 g/cm³.

a = 6.526 Å, b = 6.660 Å, c = 6.937 Å
α = 88.86°, β = 87.89°, γ = 78.67°
Fractional positions:
Na  0.227  0.193  0.042
Na  0.773  0.807  0.958
Y  0.210  0.700  0.445
Y  0.790  0.300  0.555
Cl  0.050  0.498  0.744
Cl  0.093  0.997  0.709
Cl  0.392  0.787  0.130
Cl  0.432  0.312  0.383
Cl  0.568  0.688  0.617
Cl  0.608  0.213  0.870
Cl  0.907  0.003  0.291
Cl  0.950  0.502  0.256